First-principles (SCAN) data for a PBEsol-optimized structure of SrCaMg, as listed in Alexandria.

Cell: 5.7336 5.7336 5.7336 Å, 60.00 60.00 60.00°
Closest atoms and distances in Å follow each position.
Sites, in units of the cell vectors:
Ca  0.2500  0.2500  0.2500  4 Mg 3.51, 4 Sr 3.51
Mg  0.0000  0.0000  0.0000  4 Ca 3.51
Sr  0.5000  0.5000  0.5000  4 Ca 3.51

Computed properties:
Its density of states at the Fermi level is 3.87 states/eV/cell. The calculation puts the formation energy from the elements at 483 meV per atom.

***

First-principles (SCAN) data for a PBEsol-optimized structure of SrCaMg, as listed in Alexandria.

Cell: 4.0577 4.0577 7.3751 Å, 105.97 105.97 90.00°
Closest atoms and distances in Å follow each position.
Sites, in units of the cell vectors:
Sr  0.6839  0.6839  0.3677  4 Mg 3.58, 1 Ca 3.95
Ca  0.9749  0.9749  0.9497  4 Mg 3.40
Mg  0.3413  0.3413  0.6826  4 Ca 3.40, 4 Sr 3.58

Computed properties:
Its density of states at the Fermi level is 2.74 states/eV/cell. The calculation puts the formation energy from the elements at -29 meV per atom.

***

First-principles (SCAN) data for a PBEsol-optimized structure of SrCaMg4, as listed in Alexandria.

Cell: 6.2673 6.2673 6.2673 Å, 60.00 60.00 60.00°
Closest atoms and distances in Å follow each position.
Sites, in units of the cell vectors:
Sr  0.7500  0.7500  0.7500  12 Mg 3.68, 4 Ca 3.84
Ca  0.0000  0.0000  0.0000  12 Mg 3.67, 4 Sr 3.84
Mg  0.3748  0.3748  0.3748  6 Mg 3.13-3.14
Mg  0.3748  0.3748  0.8757  6 Mg 3.13-3.14
Mg  0.8757  0.3748  0.3748  6 Mg 3.13-3.14
Mg  0.3748  0.8757  0.3748  6 Mg 3.13-3.14

Computed properties:
Its density of states at the Fermi level is 3.87 states/eV/cell. The calculation puts the formation energy from the elements at -97 meV per atom.

***

First-principles (SCAN) data for a PBEsol-optimized structure of CaMgTc3, as listed in Alexandria.

Cell: 4.5775 4.5775 4.5775 Å, 90.00 90.00 90.00°
Closest atoms and distances in Å follow each position.
Sites, in units of the cell vectors:
Mg  0.5000  0.5000  0.5000  12 Tc 3.24
Ca  0.0000  0.0000  0.0000  6 Tc 2.29
Tc  0.0000  0.5000  0.0000  2 Ca 2.29
Tc  0.0000  0.0000  0.5000  2 Ca 2.29
Tc  0.5000  0.0000  0.0000  2 Ca 2.29

Computed properties:
Its density of states at the Fermi level is 3.74 states/eV/cell. The calculation puts the formation energy from the elements at 2404 meV per atom.

***

First-principles (SCAN) data for a PBEsol-optimized structure of CaMg2TiTc, as listed in Alexandria.

Cell: 4.4281 4.9107 4.9107 Å, 90.00 90.00 90.00°
Closest atoms and distances in Å follow each position.
Sites, in units of the cell vectors:
Mg  0.0000  0.0000  0.5000  2 Ca 2.46
Mg  0.0000  0.5000  0.0000  2 Ca 2.46
Ca  0.0000  0.0000  0.0000  2 Ti 2.21, 4 Mg 2.46
Tc  0.5000  0.5000  0.5000  8 Mg 3.31, 4 Ti 3.47
Ti  0.5000  0.0000  0.0000  2 Ca 2.21

Computed properties:
Its density of states at the Fermi level is 3.34 states/eV/cell. The calculation puts the formation energy from the elements at 1936 meV per atom.

***

First-principles (SCAN) data for a PBEsol-optimized structure of CaMgTe2, as listed in Alexandria.

Cell: 4.3130 4.3130 7.4929 Å, 73.27 73.27 60.00°
Closest atoms and distances in Å follow each position.
Sites, in units of the cell vectors:
Ca  0.5000  0.5000  0.5000  6 Te 3.13
Te  0.2564  0.2564  0.2307  3 Mg 2.98, 3 Ca 3.13
Te  0.7436  0.7436  0.7693  3 Mg 2.98, 3 Ca 3.13
Mg  0.0000  0.0000  0.0000  6 Te 2.98

Computed properties:
Its density of states at the Fermi level is 0.00 states/eV/cell. The uncorrected formation energy is -1.36 eV/atom.

***

First-principles (SCAN) data for a PBEsol-optimized structure of CaMgTe2, as listed in Alexandria.

Cell: 4.3298 4.3296 6.1373 Å, 90.00 90.00 90.00°
Closest atoms and distances in Å follow each position.
Sites, in units of the cell vectors:
Ca  0.5000  0.6249  0.0000  6 Te 3.06-3.07
Te  0.0000  0.1250  0.0000  4 Ca 3.06, 2 Mg 3.07
Te  0.5000  0.6251  0.5000  4 Mg 3.06, 2 Ca 3.07
Mg  0.0000  0.1250  0.5000  6 Te 3.06-3.07

Computed properties:
The uncorrected formation energy is -1.32 eV/atom.

***

First-principles (SCAN) data for a PBEsol-optimized structure of Ca3MgTe, as listed in Alexandria.

Cell: 5.8385 5.8385 5.8385 Å, 90.00 90.00 90.00°
Closest atoms and distances in Å follow each position.
Sites, in units of the cell vectors:
Ca  0.0000  0.5000  0.0000  2 Te 2.92
Ca  0.0000  0.0000  0.5000  2 Te 2.92
Ca  0.5000  0.0000  0.0000  2 Te 2.92
Te  0.0000  0.0000  0.0000  6 Ca 2.92
Mg  0.5000  0.5000  0.5000  12 Ca 4.13

Computed properties:
Its density of states at the Fermi level is 4.24 states/eV/cell. The uncorrected formation energy is -0.38 eV/atom.

***

Copy entry 7 word for word.
First-principles (SCAN) data for a PBEsol-optimized structure of CaMgTe2, as listed in Alexandria.

Cell: 4.3298 4.3296 6.1373 Å, 90.00 90.00 90.00°
Closest atoms and distances in Å follow each position.
Sites, in units of the cell vectors:
Ca  0.5000  0.6249  0.0000  6 Te 3.06-3.07
Te  0.0000  0.1250  0.0000  4 Ca 3.06, 2 Mg 3.07
Te  0.5000  0.6251  0.5000  4 Mg 3.06, 2 Ca 3.07
Mg  0.0000  0.1250  0.5000  6 Te 3.06-3.07

Computed properties:
The uncorrected formation energy is -1.32 eV/atom.

***

What is the formula in the third record? SrCaMg4